DFT (PBE) results for a relaxed BeB2Se crystal.

Output
Formation energy (no corrections)   1.655 eV per atom
Energy above the most stable polymorph in this dataset   3.358 eV per formula unit

Geometry as POSCAR:
```
BeB2Se
1.0
0.000 2.775 2.775
2.775 0.000 2.775
2.775 2.775 0.000
Be B Se
1 2 1
Direct
0.000 0.000 0.000
0.250 0.250 0.250
0.750 0.750 0.750
0.500 0.500 0.500
```

---

DFT (PBE) results for a relaxed BeBSe2 crystal.

Output
Formation energy (no corrections)   0.309 eV per atom
Energy above the most stable polymorph in this dataset   0.765 eV per formula unit

Geometry as POSCAR:
```
BeBSe2
1.0
1.827 1.055 6.259
-1.827 1.055 6.259
0.000 -2.110 6.259
Be B Se
1 1 2
Direct
0.000 0.000 0.000
0.500 0.500 0.500
0.401 0.401 0.401
0.599 0.599 0.599
```

---

DFT (PBE) results for a relaxed BeBSe2 crystal.

Output
Formation energy (no corrections)   1.128 eV per atom
Energy above the most stable polymorph in this dataset   4.040 eV per formula unit

Geometry as POSCAR:
```
BeBSe2
1.0
0.000 3.082 3.082
3.082 0.000 3.082
3.082 3.082 0.000
Be B Se
1 1 2
Direct
0.000 0.000 0.000
0.500 0.500 0.500
0.250 0.250 0.250
0.750 0.750 0.750
```